Record 1
12
Lattice="-3.382 7.722 3.422 3.382 -7.722 3.422 3.382 7.722 -3.422" Properties=species:S:1:pos:R:3 comment="PBE Na2MgGaBi2, optimized geometry" crystal_system=orthorhombic e_tot_ev_per_atom=-2.768 sg="No. 72" ef_mev_per_atom=-265 pbc="T T T"
Na 1.605 2.612 0.000
Na 1.605 -2.612 3.422
Na 1.777 10.335 0.000
Na 1.777 5.110 3.422
Mg 3.382 0.000 1.711
Mg 0.000 7.722 1.711
Ga 0.000 0.000 1.711
Ga 0.000 0.000 5.132
Bi 5.065 1.793 0.000
Bi 1.683 5.930 0.000
Bi 1.698 1.793 3.422
Bi -1.683 5.930 3.422

---

Record 2
16
Lattice="5.730 0.000 0.000 0.000 5.730 0.000 0.000 0.000 7.701" Properties=species:S:1:pos:R:3 comment="PBE InH2Cl, optimized geometry" crystal_system=tetragonal e_tot_ev_per_atom=-2.774 sg="No. 122" relative_energy_mev_per_atom=0.0 pbc="T T T"
In 0.000 0.000 0.000
In 0.000 2.865 1.925
In 2.865 0.000 5.776
In 2.865 2.865 3.850
H 0.578 1.433 0.963
H 1.433 3.443 2.888
H 1.433 5.153 6.738
H 2.288 1.433 4.813
H 3.443 4.298 4.813
H 4.298 0.578 6.738
H 4.298 2.288 2.888
H 5.153 4.298 0.963
Cl 0.000 0.000 3.850
Cl 0.000 2.865 5.776
Cl 2.865 0.000 1.925
Cl 2.865 2.865 0.000

---

Record 3
10
Lattice="3.439 1.986 6.279 -3.439 1.986 6.279 0.000 -3.971 6.279" Properties=species:S:1:pos:R:3 comment="PBE Li2MgCdBr6, optimized geometry" crystal_system=trigonal e_tot_ev_per_atom=-2.908 formation_energy_uncorrected_mev_per_atom=-1271 sg="No. 146" pbc="T T T"
Li 0.000 0.000 0.000
Li 0.000 0.000 9.317
Mg 0.000 0.000 12.931
Cd 0.000 0.000 3.590
Br -2.362 0.069 7.983
Br -1.106 -1.810 11.174
Br 1.121 -2.080 7.983
Br -1.014 1.863 11.174
Br 1.241 2.011 7.983
Br 2.120 -0.053 11.174

---

Record 4
8
Lattice="2.635 0.000 0.000 0.000 3.700 0.000 0.000 0.000 7.751" Properties=species:S:1:pos:R:3 comment="PBE Be2CuNi, optimized geometry" crystal_system=orthorhombic e_tot_ev_per_atom=-4.544 sg="No. 44" ef_mev_per_atom=-211 pbc="T T T"
Be 0.000 0.000 0.000
Be 0.000 1.850 2.023
Be 1.317 0.000 5.899
Be 1.317 1.850 3.876
Cu 0.000 1.850 5.795
Cu 1.317 0.000 1.920
Ni 0.000 0.000 4.031
Ni 1.317 1.850 0.155

---

Record 5
16
Lattice="3.205 -4.511 0.000 3.205 4.511 0.000 0.000 0.000 9.046" Properties=species:S:1:pos:R:3 comment="PBE ZrReW14, optimized geometry" crystal_system=orthorhombic e_tot_ev_per_atom=-12.640 sg="No. 65" ef_mev_per_atom=7 pbc="T T T"
Zr 0.000 0.000 0.000
Re 3.205 0.000 0.000
W 0.000 0.000 4.523
W 1.603 2.255 0.000
W 1.603 2.255 4.523
W 3.205 2.253 2.269
W 3.205 2.253 6.777
W 1.619 0.000 2.297
W 1.619 0.000 6.749
W 1.603 -2.255 0.000
W 1.603 -2.255 4.523
W 3.205 0.000 4.523
W 4.791 0.000 2.297
W 4.791 0.000 6.749
W 3.205 -2.253 2.269
W 3.205 -2.253 6.777

---

Record 6
8
Lattice="5.763 0.000 0.000 0.000 8.655 0.000 0.000 0.000 3.347" Properties=species:S:1:pos:R:3 comment="PBE Cd2CoBr, optimized geometry" crystal_system=orthorhombic e_tot_ev_per_atom=-2.325 formation_energy_uncorrected_mev_per_atom=328 sg="No. 65" relative_energy_mev_per_atom=216.9 pbc="T T T"
Cd 1.441 2.164 0.000
Cd 1.441 6.492 0.000
Cd 4.322 2.164 0.000
Cd 4.322 6.492 0.000
Co 0.000 0.000 1.673
Co 2.881 4.328 1.673
Br 0.000 4.328 1.673
Br 2.881 0.000 1.673

---

Record 7
10
Lattice="4.923 0.000 0.000 0.000 3.714 0.000 -0.458 0.000 12.768" Properties=species:S:1:pos:R:3 comment="PBE NdCd2Au2, optimized geometry" crystal_system=monoclinic e_tot_ev_per_atom=-3.046 sg="No. 11" ef_mev_per_atom=-416 relative_energy_mev_per_atom=66.6 pbc="T T T"
Nd 1.035 0.928 3.214
Nd 3.430 2.785 9.555
Cd 1.010 2.785 6.095
Cd 0.987 0.928 11.074
Cd 3.478 2.785 1.694
Cd 3.455 0.928 6.674
Au 1.039 2.785 0.546
Au 0.976 0.928 8.315
Au 3.489 2.785 4.453
Au 3.426 0.928 12.223

---

Record 8
5
Lattice="5.129 0.000 0.000 0.000 5.129 0.000 0.000 0.000 5.530" Properties=species:S:1:pos:R:3 comment="PBE KCaBe2Ge, optimized geometry" crystal_system=tetragonal e_tot_ev_per_atom=-1.529 sg="No. 123" ef_mev_per_atom=1505 pbc="T T T"
K 0.000 0.000 0.000
Ca 2.565 2.565 2.765
Be 0.000 2.565 0.000
Be 2.565 0.000 0.000
Ge 0.000 0.000 2.765

---

Record 9
5
Lattice="5.936 0.000 0.000 0.000 5.936 0.000 0.000 0.000 6.314" Properties=species:S:1:pos:R:3 comment="PBE InGa2SI, optimized geometry" crystal_system=tetragonal e_tot_ev_per_atom=-2.283 formation_energy_uncorrected_mev_per_atom=611 sg="No. 123" pbc="T T T"
In 0.000 0.000 0.000
Ga 0.000 2.968 3.157
Ga 2.968 0.000 3.157
S 2.968 2.968 0.000
I 0.000 0.000 3.157

---

Record 10
19
Lattice="7.690 4.440 2.866 -7.690 4.440 2.866 0.000 -8.879 2.866" Properties=species:S:1:pos:R:3 comment="PBE CaPm12In6, optimized geometry" crystal_system=trigonal e_tot_ev_per_atom=-4.159 sg="No. 148" ef_mev_per_atom=-189 pbc="T T T"
Ca 0.000 0.000 0.000
Pm -0.649 -5.226 2.886
Pm -4.201 3.174 2.886
Pm -1.051 -1.889 2.909
Pm -4.850 -2.051 5.712
Pm -1.110 1.855 2.909
Pm 2.162 0.034 2.909
Pm -2.162 -0.034 5.690
Pm 1.110 -1.855 5.690
Pm 4.850 2.051 2.886
Pm 1.051 1.889 5.690
Pm 4.201 -3.174 5.712
Pm 0.649 5.226 5.712
In -3.935 -0.305 2.877
In 2.232 -3.256 2.877
In -1.704 -3.560 5.722
In 1.704 3.560 2.877
In -2.232 3.256 5.722
In 3.935 0.305 5.722

---

Record 11
10
Lattice="3.775 0.000 0.000 0.000 3.775 0.000 0.000 0.000 16.267" Properties=species:S:1:pos:R:3 comment="PBE Ti2Tl2Cd, optimized geometry" crystal_system=tetragonal e_tot_ev_per_atom=-3.851 sg="No. 139" ef_mev_per_atom=436 relative_energy_mev_per_atom=214.3 pbc="T T T"
Ti 0.000 1.888 4.067
Ti 0.000 1.888 12.200
Ti 1.888 0.000 4.067
Ti 1.888 0.000 12.200
Tl 0.000 0.000 1.676
Tl 0.000 0.000 14.591
Tl 1.888 1.888 6.457
Tl 1.888 1.888 9.810
Cd 0.000 0.000 8.134
Cd 1.888 1.888 0.000

---

Record 12
13
Lattice="7.709 -4.364 0.000 7.709 4.364 0.000 -2.399 0.000 7.139" Properties=species:S:1:pos:R:3 comment="PBE Sm2Ho3Te8, optimized geometry" crystal_system=monoclinic e_tot_ev_per_atom=-4.986 formation_energy_uncorrected_mev_per_atom=-1271 sg="No. 12" pbc="T T T"
Sm 3.429 0.000 1.209
Sm 9.590 0.000 5.930
Ho 6.509 2.245 3.569
Ho 7.709 0.000 0.000
Ho 6.509 -2.245 3.569
Te 0.841 0.000 2.912
Te 5.659 2.162 0.633
Te 7.360 2.162 6.506
Te 4.472 0.000 4.190
Te 8.547 0.000 2.949
Te 5.659 -2.162 0.633
Te 7.360 -2.162 6.506
Te 12.178 0.000 4.227